Record 1
! GGA-PBE Ho7Er3In2, relaxed; values from VASP
! DFT formation energy: -4.4 kJ per mole of atoms
! D(E_F): 11.6 states/eV per cell
&SYSTEM
  ibrav = 0, nat = 12, ntyp = 3
/
ATOMIC_SPECIES
Er 167.26 Er.upf
In 114.82 In.upf
Ho 164.93 Ho.upf
CELL_PARAMETERS angstrom
-0.036 -3.554 0.265
1.457 0.384 5.337
-18.755 0.233 0.607
ATOMIC_POSITIONS crystal
Er 0.000 0.855 0.633
In 0.500 0.408 0.708
Ho 0.000 0.517 0.853
Er 0.000 0.145 0.367
Ho 0.500 0.006 0.173
Ho 0.500 0.282 0.541
In 0.500 0.592 0.292
Ho 0.000 0.483 0.147
Ho 0.500 0.718 0.459
Ho 0.000 0.000 0.000
Ho 0.500 0.994 0.827
Er 0.500 0.500 0.000

***

Record 2
! GGA-PBE BaSbSeBr2, relaxed; values from VASP
! D(E_F): 4.7 states/eV per cell
! Formation energy without anion corrections: -0.3556 eV/atom
&SYSTEM
  ibrav = 0, nat = 5, ntyp = 4
/
ATOMIC_SPECIES
Ba 137.33 Ba.upf
Br 79.90 Br.upf
Sb 121.76 Sb.upf
Se 78.96 Se.upf
CELL_PARAMETERS angstrom
6.136 0.000 0.000
0.000 6.136 0.000
0.000 0.000 6.620
ATOMIC_POSITIONS crystal
Ba 0.000 0.000 0.000
Br 0.500 0.000 0.000
Br 0.000 0.500 0.000
Sb 0.500 0.500 0.500
Se 0.000 0.000 0.500

***

Record 3
! GGA-PBE BaSi, relaxed; values from VASP
! D(E_F): 3.0 states/eV per cell
! Formation energy without anion corrections: 0.0233 eV/atom
&SYSTEM
  ibrav = 0, nat = 4, ntyp = 2
/
ATOMIC_SPECIES
Ba 137.33 Ba.upf
Si 28.09 Si.upf
CELL_PARAMETERS angstrom
3.654 0.000 0.000
0.000 3.654 0.000
0.000 0.000 9.727
ATOMIC_POSITIONS crystal
Ba 0.000 0.000 0.911
Ba 0.500 0.500 0.339
Si 0.500 0.500 0.668
Si 0.000 0.000 0.582

***

Record 4
! GGA-PBE Mg2ScNi, relaxed; values from VASP
! DFT formation energy: 17.1 kJ per mole of atoms
! D(E_F): 6.8 states/eV per cell
&SYSTEM
  ibrav = 0, nat = 8, ntyp = 3
/
ATOMIC_SPECIES
Sc 44.96 Sc.upf
Mg 24.30 Mg.upf
Ni 58.69 Ni.upf
CELL_PARAMETERS angstrom
-1.032 1.720 -3.312
2.265 -2.442 -1.974
-7.175 -6.834 -3.577
ATOMIC_POSITIONS crystal
Sc 0.250 0.750 0.500
Sc 0.500 0.500 0.000
Mg 0.875 0.892 0.750
Mg 0.108 0.625 0.250
Mg 0.642 0.125 0.250
Ni 0.000 0.000 0.000
Mg 0.375 0.358 0.750
Ni 0.750 0.250 0.500

***

Record 5
! GGA-PBE LaMg2VFe, relaxed; values from VASP
! DFT formation energy: 45.2 kJ per mole of atoms
! D(E_F): 4.1 states/eV per cell
&SYSTEM
  ibrav = 0, nat = 5, ntyp = 4
/
ATOMIC_SPECIES
V 50.94 V.upf
Fe 55.84 Fe.upf
Mg 24.30 Mg.upf
La 138.91 La.upf
CELL_PARAMETERS angstrom
-3.634 -1.356 -3.435
2.614 -3.007 -1.579
-1.911 -3.434 3.377
ATOMIC_POSITIONS crystal
V 0.000 0.000 0.000
Fe 0.000 0.500 0.000
Mg 0.500 0.000 0.000
Mg 0.000 0.000 0.500
La 0.500 0.500 0.500

***

Record 6
! GGA-PBE Cr2PRu, relaxed; values from VASP
! DFT formation energy: -21.2 kJ per mole of atoms
! D(E_F): 2.4 states/eV per cell
&SYSTEM
  ibrav = 0, nat = 4, ntyp = 3
/
ATOMIC_SPECIES
Cr 52.00 Cr.upf
Ru 101.07 Ru.upf
P 30.97 P.upf
CELL_PARAMETERS angstrom
-3.162 1.577 -3.274
0.912 -0.888 -4.646
-0.731 -1.941 4.348
ATOMIC_POSITIONS crystal
Cr 0.519 0.519 0.000
Ru 0.250 0.750 0.500
P 0.750 0.250 0.500
Cr 0.981 0.981 0.000

***

Record 7
! GGA-PBE Li2SbW, relaxed; values from VASP
! D(E_F): 2.3 states/eV per cell
! Formation energy without anion corrections: 0.3087 eV/atom
&SYSTEM
  ibrav = 0, nat = 4, ntyp = 3
/
ATOMIC_SPECIES
Li 6.94 Li.upf
W 183.84 W.upf
Sb 121.76 Sb.upf
CELL_PARAMETERS angstrom
-1.965 -0.308 2.520
0.988 -4.342 0.240
3.642 0.992 2.960
ATOMIC_POSITIONS crystal
Li 0.500 0.500 0.000
W 0.000 0.500 0.500
Li 0.000 0.000 0.000
Sb 0.500 0.000 0.500

***

Record 8
! GGA-PBE PmThNi2P2, relaxed; values from VASP
! DFT formation energy: -116.9 kJ per mole of atoms
! D(E_F): 3.2 states/eV per cell
&SYSTEM
  ibrav = 0, nat = 6, ntyp = 4
/
ATOMIC_SPECIES
Ni 58.69 Ni.upf
P 30.97 P.upf
Th 232.04 Th.upf
Pm 145.00 Pm.upf
CELL_PARAMETERS angstrom
0.000 -2.153 -3.331
2.647 -0.762 2.854
-5.118 -5.195 3.359
ATOMIC_POSITIONS crystal
Ni 0.333 0.667 0.737
P 0.333 0.667 0.243
P 0.667 0.333 0.757
Th 0.000 0.000 0.500
Ni 0.667 0.333 0.263
Pm 0.000 0.000 0.000

***

Number 5 is which compound?
LaMg2VFe

***

What is the formula in the first record?
Ho7Er3In2

***

Which of these has the lowest D(E_F)?
Li2SbW

***

Among the records above, which one has the lowest D(E_F)?
Li2SbW